VASP calculation (PBE+U) on a relaxed AlNiO3 crystal. Values from VASP.

Computed properties:
raw total energy: -5.77 eV/atom
Fermi-level density of states: 3.10 states/eV per cell
magnetic moment: 0.14 μB/atom
space-group type: P6_3/mmc (194)

Structure (Quantum ESPRESSO input):
```
&SYSTEM
  ibrav = 0, nat = 10, ntyp = 3
/
ATOMIC_SPECIES
Al 26.98 Al.upf
Ni 58.69 Ni.upf
O 16.00 O.upf
ATOMIC_POSITIONS crystal
Al 0.000 0.000 0.500
Al 0.000 0.000 0.000
Ni 0.667 0.333 0.750
Ni 0.333 0.667 0.250
O 0.333 0.667 0.421
O 0.667 0.333 0.921
O 0.667 0.333 0.579
O 0.333 0.667 0.079
O 0.000 0.000 0.250
O 0.000 0.000 0.750
CELL_PARAMETERS angstrom
-2.757 0.059 1.461
2.199 -2.024 0.898
3.976 7.516 7.203
```